Material: HoCoO3
Method: DFT, PBEsol
State: optimized geometry

Values from the calculation:
**Electronic total energy**: -40.3 eV per formula unit
**Crystal system**: orthorhombic
**Formation energy (no corrections)**: -2.38 eV/atom
**Density**: 9.077 g cm⁻³
**SG**: No. 62
**N(E_F)**: 0.05 states/eV per atom

Lattice parameters (Å, degrees): 5.037 5.436 7.267 90.00 90.00 90.00
Sites, in units of the cell vectors:
Co1 0.500 0.000 0.500
Co2 0.000 0.500 0.500
Co3 0.500 0.000 0.000
Co4 0.000 0.500 0.000
O1 0.811 0.803 0.450
O2 0.189 0.197 0.550
O3 0.603 0.028 0.750
O4 0.811 0.803 0.050
O5 0.103 0.472 0.250
O6 0.689 0.303 0.450
O7 0.311 0.697 0.550
O8 0.311 0.697 0.950
O9 0.897 0.528 0.750
O10 0.397 0.972 0.250
O11 0.689 0.303 0.050
O12 0.189 0.197 0.950
Ho1 0.024 0.922 0.750
Ho2 0.476 0.422 0.750
Ho3 0.976 0.078 0.250
Ho4 0.524 0.578 0.250